DFT (PBEsol) results for a geometry-optimized LaSb2Pb structure.

As for the space group: Cm. The total energy comes out at -20.9 eV/cell.

Cell lengths 4.5673, 4.5715, 6.3121 Å; angles 111.42, 111.21, 90.00 degrees
Closest atoms and distances in Å follow each position.
Positions (direct):
1 Pb 0.2502 0.7493 0.5004  8 Sb 3.23-3.55, 4 La 3.54-3.55
2 Sb 0.0000 0.0001 0.0001  4 La 3.23, 4 Pb 3.53-3.55, 4 Sb 3.54-3.55
3 Sb 0.7498 0.2507 0.4996  4 Pb 3.23-3.24, 4 Sb 3.54-3.55, 4 La 3.54
4 La 0.5000 0.4999 0.0000  8 Sb 3.23-3.54, 4 Pb 3.54-3.55

=====

DFT (PBEsol) results for a geometry-optimized La2SbPb structure.

As for the space group: R-3m. The total energy comes out at -22.6 eV/cell.

Cell lengths 4.4312, 4.4312, 8.3904 Å; angles 74.69, 74.69, 60.00 degrees
Closest atoms and distances in Å follow each position.
Positions (direct):
1 La 0.2541 0.2541 0.2376  3 Sb 3.19, 3 Pb 3.31
2 Sb 0.0000 0.0000 0.0000  6 La 3.19
3 Pb 0.5000 0.5000 0.5000  6 La 3.31
4 La 0.7459 0.7459 0.7624  3 Sb 3.19, 3 Pb 3.31

=====

DFT (PBEsol) results for a geometry-optimized La2SbPb structure.

As for the space group: P4/mmm. The total energy comes out at -22.6 eV/cell.

Cell lengths 3.3816, 5.9038, 5.9038 Å; angles 90.00, 90.00, 90.00 degrees
Closest atoms and distances in Å follow each position.
Positions (direct):
1 La 0.0000 0.5000 0.0000  2 La 3.38, 4 Pb 3.40, 4 Sb 3.40
2 Sb 0.5000 0.0000 0.0000  2 Sb 3.38, 8 La 3.40
3 Pb 0.5000 0.5000 0.5000  2 Pb 3.38, 8 La 3.40
4 La 0.0000 0.0000 0.5000  2 La 3.38, 4 Pb 3.40, 4 Sb 3.40

=====

DFT (PBEsol) results for a geometry-optimized LaSb2Pb structure.

As for the space group: P4mm. The total energy comes out at -20.5 eV/cell.

Cell lengths 4.3869, 4.3869, 6.5739 Å; angles 90.00, 90.00, 90.00 degrees
Closest atoms and distances in Å follow each position.
Positions (direct):
1 Pb 0.5000 0.5000 0.8003  5 Sb 3.06-3.21
2 Sb 0.0000 0.0000 0.9285  4 Pb 3.21, 2 La 3.24-3.34
3 Sb 0.5000 0.5000 0.3354  1 Pb 3.06, 4 La 3.17
4 La 0.0000 0.0000 0.4358  6 Sb 3.17-3.34

=====

DFT (PBEsol) results for a geometry-optimized La2SbPb structure.

As for the space group: Fm-3m. The total energy comes out at -22.2 eV/cell.

Cell lengths 5.5489, 5.5489, 5.5489 Å; angles 60.00, 60.00, 60.00 degrees
Closest atoms and distances in Å follow each position.
Positions (direct):
1 La 0.2500 0.2500 0.2500  4 Pb 3.40, 4 Sb 3.40
2 Pb 0.0000 0.0000 0.0000  8 La 3.40
3 La 0.7500 0.7500 0.7500  4 Pb 3.40, 4 Sb 3.40
4 Sb 0.5000 0.5000 0.5000  8 La 3.40

=====

DFT (PBEsol) results for a geometry-optimized LaSb2Pb structure.

As for the space group: P4/mmm. The total energy comes out at -21.0 eV/cell.

Cell lengths 4.4679, 4.9942, 4.9942 Å; angles 90.00, 90.00, 90.00 degrees
Closest atoms and distances in Å follow each position.
Positions (direct):
1 Sb 0.0000 0.0000 0.5000  4 Pb 3.35, 4 La 3.35, 4 Sb 3.53
2 La 0.5000 0.5000 0.5000  8 Sb 3.35, 4 Pb 3.53
3 Sb 0.0000 0.5000 0.0000  4 La 3.35, 4 Pb 3.35, 4 Sb 3.53
4 Pb 0.5000 0.0000 0.0000  8 Sb 3.35, 4 La 3.53

=====

DFT (PBEsol) results for a geometry-optimized La2SbPb structure.

As for the space group: P4/mmm. The total energy comes out at -22.6 eV/cell.

Cell lengths 4.5814, 4.5814, 6.4731 Å; angles 90.00, 90.00, 90.00 degrees
Closest atoms and distances in Å follow each position.
Positions (direct):
1 La 0.0000 0.0000 0.8750  2 Pb 3.24, 4 Sb 3.24
2 La 0.5000 0.5000 0.3750  2 Sb 3.24, 4 Pb 3.24
3 Pb 0.0000 0.0000 0.3750  6 La 3.24
4 Sb 0.5000 0.5000 0.8751  6 La 3.24

=====

DFT (PBEsol) results for a geometry-optimized La2ScPb structure.

As for the space group: P4/mmm. The total energy comes out at -22.7 eV/cell.

Cell lengths 4.7489, 4.7489, 4.9723 Å; angles 90.00, 90.00, 90.00 degrees
Closest atoms and distances in Å follow each position.
Positions (direct):
1 La 0.5000 0.0000 0.0000  4 La 3.36, 4 Pb 3.44, 4 Sc 3.44
2 Sc 0.0000 0.0000 0.5000  4 Pb 3.36, 8 La 3.44
3 La 0.0000 0.5000 0.0000  4 La 3.36, 4 Pb 3.44, 4 Sc 3.44
4 Pb 0.5000 0.5000 0.5000  4 Sc 3.36, 8 La 3.44

=====

DFT (PBEsol) results for a geometry-optimized La2ScPb structure.

As for the space group: Imm2. The total energy comes out at -22.6 eV/cell.

Cell lengths 4.7658, 4.7848, 5.9830 Å; angles 113.57, 113.47, 90.00 degrees
Closest atoms and distances in Å follow each position.
Positions (direct):
1 La 0.7503 0.2503 0.5007  4 Sc 3.38, 4 Pb 3.43-3.44, 4 La 3.43-3.44
2 Sc 0.2491 0.7491 0.4983  8 La 3.38-3.44, 4 Pb 3.42-3.45
3 Pb 0.5007 0.5007 0.0013  8 La 3.38-3.44, 4 Sc 3.42-3.45
4 La 0.9999 0.9999 0.9997  4 Pb 3.38, 4 Sc 3.43-3.44, 4 La 3.43-3.44

=====

DFT (PBEsol) results for a geometry-optimized LaSc2Pb structure.

As for the space group: Cmmm. The total energy comes out at -22.8 eV/cell.

Cell lengths 3.3125, 3.3125, 10.6414 Å; angles 90.00, 90.00, 115.08 degrees
Closest atoms and distances in Å follow each position.
Positions (direct):
1 La 0.5000 0.5000 0.5000  6 La 3.31-3.56, 4 Sc 3.36
2 Pb 0.5000 0.5000 0.0000  4 Sc 3.04, 4 Pb 3.31
3 Sc 0.0000 0.0000 0.7683  2 Pb 3.04, 4 Sc 3.31, 2 La 3.36
4 Sc 0.0000 0.0000 0.2317  2 Pb 3.04, 4 Sc 3.31, 2 La 3.36

=====

DFT (PBEsol) results for a geometry-optimized La2ScPb structure.

As for the space group: Pmm2. The total energy comes out at -22.5 eV/cell.

Cell lengths 3.5820, 5.3840, 5.9105 Å; angles 90.00, 90.02, 90.00 degrees
Closest atoms and distances in Å follow each position.
Positions (direct):
1 La 0.8746 0.5000 0.2881  4 La 3.31-3.58, 4 Sc 3.37-3.54, 4 Pb 3.42-3.43
2 Pb 0.3744 0.0000 0.4792  2 Sc 3.20, 8 La 3.36-3.55, 2 Pb 3.58
3 La 0.8756 0.0000 0.9613  4 La 3.31-3.58, 4 Pb 3.36-3.55, 4 Sc 3.42
4 Sc 0.3755 0.5000 0.7715  2 Pb 3.20, 8 La 3.37-3.54, 2 Sc 3.58

=====

DFT (PBEsol) results for a geometry-optimized La2ScPb structure.

As for the space group: Cmmm. The total energy comes out at -22.5 eV/cell.

Cell lengths 3.4887, 5.9359, 5.9359 Å; angles 111.86, 90.00, 90.00 degrees
Closest atoms and distances in Å follow each position.
Positions (direct):
1 Sc 0.5000 0.5000 0.5000  2 Pb 3.33, 8 La 3.44, 2 Sc 3.49
2 La 0.0000 0.5000 0.0000  4 La 3.33-3.49, 4 Pb 3.44, 4 Sc 3.44
3 Pb 0.5000 0.0000 0.0000  2 Sc 3.33, 8 La 3.44, 2 Pb 3.49
4 La 0.0000 0.0000 0.5000  4 La 3.33-3.49, 4 Sc 3.44, 4 Pb 3.44

=====

DFT (PBEsol) results for a geometry-optimized La2PbSe structure.

The calculation puts the offset from the most stable computed form at 0.1337 eV per atom. As for the space group: Amm2.

Cell lengths 4.1102, 4.8506, 6.3277 Å; angles 90.00, 108.95, 90.00 degrees
Closest atoms and distances in Å follow each position.
Positions (direct):
1 La 0.2477 0.0000 0.4954  3 Pb 3.15-3.50, 4 Se 3.18
2 Se 0.7448 0.5000 0.4895  5 La 3.02-3.18
3 La 0.9967 0.5000 0.9934  1 Se 3.02, 4 Pb 3.18
4 Pb 0.5109 0.0000 0.0217  7 La 3.15-3.50

=====

DFT (PBEsol) results for a geometry-optimized LaPb2Se structure.

As for the space group: P4/mmm. The total energy comes out at -20.1 eV/cell.

Cell lengths 4.3392, 4.3392, 5.8423 Å; angles 90.00, 90.00, 90.00 degrees
Closest atoms and distances in Å follow each position.
Positions (direct):
1 Pb 0.0000 0.5000 0.0000  4 Pb 3.07
2 La 0.0000 0.0000 0.5000  4 Se 3.07
3 Se 0.5000 0.5000 0.5000  4 La 3.07
4 Pb 0.5000 0.0000 0.0000  4 Pb 3.07